[1]
Here is an optimized crystal structure of HoZrAlCd from the Alexandria database. Energies are from PBE.

Cell lengths 5.018, 5.018, 5.018 Å; angles 60.00, 60.00, 60.00 degrees
Positions (direct):
Ho 0.000 0.000 0.000
Zr 0.500 0.500 0.500
Al 0.250 0.250 0.250
Cd 0.750 0.750 0.750

Computed properties:
**Formation energy from the elements**: -243.7 meV/atom
**Space group**: No. 216
**N(E_F)**: 0.451 states/eV/atom
**Electronic total energy**: -4.690 eV/atom

=====

[2]
Here is an optimized crystal structure of AlCd2I8 from the Alexandria database. Energies are from PBE.

Cell lengths 9.191, 9.191, 7.243 Å; angles 92.68, 92.68, 51.04 degrees
Positions (direct):
Al 0.000 0.000 0.000
Cd 0.159 0.159 0.609
Cd 0.841 0.841 0.391
I 0.152 0.152 0.213
I 0.186 0.691 0.219
I 0.309 0.814 0.781
I 0.322 0.322 0.704
I 0.678 0.678 0.296
I 0.691 0.186 0.219
I 0.814 0.309 0.781
I 0.848 0.848 0.787

Computed properties:
**Space group**: No. 12
**N(E_F)**: 0.602 states/eV/atom
**Formation energy without anion corrections**: -0.441 eV/atom
**Electronic total energy**: -2.075 eV/atom

=====

[3]
Here is an optimized crystal structure of AlCd3I from the Alexandria database. Energies are from PBE.

Cell lengths 5.367, 5.367, 5.367 Å; angles 90.00, 90.00, 90.00 degrees
Positions (direct):
Al 0.000 0.000 0.000
Cd 0.000 0.000 0.500
Cd 0.000 0.500 0.000
Cd 0.500 0.000 0.000
I 0.500 0.500 0.500

Computed properties:
**Space group**: No. 221
**N(E_F)**: 0.193 states/eV/atom
**Formation energy without anion corrections**: 0.057 eV/atom
**Offset from the most stable computed form**: 0 meV per atom
**Electronic total energy**: -1.550 eV/atom

=====

[4]
Here is an optimized crystal structure of AlCdI5 from the Alexandria database. Energies are from PBE.

Cell lengths 8.139, 8.143, 10.848 Å; angles 109.21, 109.20, 91.07 degrees
Positions (direct):
Al 0.115 0.385 0.250
Al 0.885 0.615 0.750
Cd 0.500 0.000 0.000
Cd 0.500 0.000 0.500
I 0.161 0.725 0.340
I 0.219 0.256 0.044
I 0.226 0.661 0.840
I 0.244 0.280 0.456
I 0.408 0.091 0.750
I 0.592 0.909 0.250
I 0.756 0.720 0.544
I 0.774 0.339 0.160
I 0.781 0.744 0.956
I 0.839 0.275 0.660

Computed properties:
**Space group**: No. 2
**Formation energy without anion corrections**: -0.557 eV/atom
**Electronic total energy**: -2.330 eV/atom

=====

[5]
Here is an optimized crystal structure of AlCdI3 from the Alexandria database. Energies are from PBE.

Cell lengths 5.903, 5.903, 5.903 Å; angles 90.00, 90.00, 90.00 degrees
Positions (direct):
Al 0.000 0.000 0.000
Cd 0.500 0.500 0.500
I 0.000 0.500 0.500
I 0.500 0.000 0.500
I 0.500 0.500 0.000

Computed properties:
**Space group**: No. 221
**N(E_F)**: 0.164 states/eV/atom
**Formation energy without anion corrections**: -0.099 eV/atom
**Offset from the most stable computed form**: 95 meV per atom
**Electronic total energy**: -1.961 eV/atom

=====

[6]
Here is an optimized crystal structure of AlCdI3 from the Alexandria database. Energies are from PBE.

Cell lengths 5.623, 5.623, 5.623 Å; angles 90.00, 90.00, 90.00 degrees
Positions (direct):
Al 0.000 0.000 0.000
Cd 0.500 0.500 0.500
I 0.000 0.000 0.500
I 0.000 0.500 0.000
I 0.500 0.000 0.000

Computed properties:
**Space group**: No. 221
**N(E_F)**: 0.324 states/eV/atom
**Formation energy without anion corrections**: -0.195 eV/atom
**Offset from the most stable computed form**: 0 meV per atom
**Electronic total energy**: -2.056 eV/atom

=====

[7]
Here is an optimized crystal structure of AlCd3I from the Alexandria database. Energies are from PBE.

Cell lengths 6.048, 6.048, 6.048 Å; angles 90.00, 90.00, 90.00 degrees
Positions (direct):
Al 0.000 0.000 0.000
Cd 0.000 0.500 0.500
Cd 0.500 0.000 0.500
Cd 0.500 0.500 0.000
I 0.500 0.500 0.500

Computed properties:
**Space group**: No. 221
**N(E_F)**: 0.502 states/eV/atom
**Formation energy without anion corrections**: 0.812 eV/atom
**Offset from the most stable computed form**: 755 meV per atom
**Electronic total energy**: -0.795 eV/atom

=====

[8]
Here is an optimized crystal structure of AlCd2IrI from the Alexandria database. Energies are from PBE.

Cell lengths 5.115, 5.115, 5.701 Å; angles 90.00, 90.00, 90.00 degrees
Positions (direct):
Al 0.000 0.000 0.000
Cd 0.000 0.500 0.000
Cd 0.500 0.000 0.000
Ir 0.500 0.500 0.500
I 0.000 0.000 0.500

Computed properties:
**Space group**: No. 123
**N(E_F)**: 1.236 states/eV/atom
**Formation energy without anion corrections**: 1.196 eV/atom
**Electronic total energy**: -2.001 eV/atom

=====

Q: Which of these has the highest electronic total energy?
A: number 7